<one>
First-principles (PBE-GGA) data for crystalline Rb2BaIr2 at its relaxed geometry, as listed in the Alexandria database.

a b c (Å): 8.159 8.159 8.159
angles (deg): 145.53 145.53 49.55
Atoms (fractional coordinates):
Rb1 0.250 0.750 0.500
Rb2 0.750 0.250 0.500
Ba1 0.000 0.000 0.000
Ir1 0.420 0.420 0.000
Ir2 0.580 0.580 0.000

***

<two>
First-principles (PBE-GGA) data for crystalline Rb2BaIr2 at its relaxed geometry, as listed in the Alexandria database.

a b c (Å): 7.705 7.705 5.794
angles (deg): 90.00 90.00 90.00
Atoms (fractional coordinates):
Rb1 0.161 0.339 0.000
Rb2 0.339 0.839 0.000
Rb3 0.661 0.161 0.000
Rb4 0.839 0.661 0.000
Ba1 0.000 0.000 0.500
Ba2 0.500 0.500 0.500
Ir1 0.111 0.611 0.500
Ir2 0.389 0.111 0.500
Ir3 0.611 0.889 0.500
Ir4 0.889 0.389 0.500

***

Which of them is most stable? Easy: <two>.

***

<one>
First-principles (PBE-GGA) data for crystalline BaRe2Ir at its relaxed geometry, as listed in the Alexandria database.

a b c (Å): 5.863 5.863 5.863
angles (deg): 149.09 123.00 66.26
Atoms (fractional coordinates):
Ba1 0.000 0.000 0.000
Re1 0.507 0.507 0.000
Re2 0.694 0.194 0.500
Ir1 0.294 0.794 0.500

***

<two>
First-principles (PBE-GGA) data for crystalline BaRe2Ir at its relaxed geometry, as listed in the Alexandria database.

a b c (Å): 4.734 4.734 6.805
angles (deg): 101.51 101.51 38.65
Atoms (fractional coordinates):
Ba1 0.000 0.000 0.000
Re1 0.506 0.506 0.492
Re2 0.792 0.792 0.387
Ir1 0.226 0.226 0.664

***

Which of them is most stable? Easy: <two>.

***

<one>
First-principles (PBE-GGA) data for crystalline BaRe2Ir at its relaxed geometry, as listed in the Alexandria database.

a b c (Å): 2.916 5.000 5.292
angles (deg): 90.00 90.00 90.00
Atoms (fractional coordinates):
Ba1 0.000 0.000 0.000
Re1 0.000 0.500 0.500
Re2 0.500 0.000 0.500
Ir1 0.500 0.500 0.000

***

<two>
First-principles (PBE-GGA) data for crystalline BaRe2Ir at its relaxed geometry, as listed in the Alexandria database.

a b c (Å): 3.947 3.947 5.114
angles (deg): 90.00 90.00 90.00
Atoms (fractional coordinates):
Ba1 0.000 0.000 0.000
Re1 0.000 0.500 0.500
Re2 0.500 0.000 0.500
Ir1 0.500 0.500 0.000

***

<three>
First-principles (PBE-GGA) data for crystalline BaRe2Ir at its relaxed geometry, as listed in the Alexandria database.

a b c (Å): 5.792 5.792 2.830
angles (deg): 99.44 99.44 121.66
Atoms (fractional coordinates):
Ba1 0.000 0.000 0.000
Re1 0.000 0.500 0.500
Re2 0.500 0.000 0.500
Ir1 0.500 0.500 0.000

***

Which of them is most stable? Easy: <one>.

***

<one>
First-principles (PBE-GGA) data for crystalline BaRe2Ir at its relaxed geometry, as listed in the Alexandria database.

a b c (Å): 4.764 4.757 4.729
angles (deg): 60.30 60.13 59.57
Atoms (fractional coordinates):
Ba1 0.000 0.000 0.000
Re1 0.250 0.250 0.250
Re2 0.500 0.500 0.500
Ir1 0.750 0.750 0.750

***

<two>
First-principles (PBE-GGA) data for crystalline BaRe2Ir at its relaxed geometry, as listed in the Alexandria database.

a b c (Å): 2.884 3.851 7.619
angles (deg): 90.00 90.00 90.00
Atoms (fractional coordinates):
Ba1 0.000 0.000 0.000
Re1 0.500 0.500 0.339
Re2 0.500 0.500 0.661
Ir1 0.000 0.000 0.500

***

<three>
First-principles (PBE-GGA) data for crystalline BaRe2Ir at its relaxed geometry, as listed in the Alexandria database.

a b c (Å): 3.007 4.061 7.400
angles (deg): 90.00 100.89 90.00
Atoms (fractional coordinates):
Ba1 0.000 0.000 0.000
Re1 0.289 0.500 0.610
Re2 0.742 0.000 0.517
Ir1 0.644 0.500 0.299

***

Which of them is most stable? Easy: <three>.

***

<one>
First-principles (PBE-GGA) data for crystalline BaRe2Ir at its relaxed geometry, as listed in the Alexandria database.

a b c (Å): 10.639 10.639 10.639
angles (deg): 15.61 15.61 15.61
Atoms (fractional coordinates):
Ba1 0.000 0.000 0.000
Re1 0.235 0.235 0.235
Re2 0.765 0.765 0.765
Ir1 0.500 0.500 0.500

***

<two>
First-principles (PBE-GGA) data for crystalline BaRe2Ir at its relaxed geometry, as listed in the Alexandria database.

a b c (Å): 4.035 4.598 5.747
angles (deg): 90.00 102.34 90.00
Atoms (fractional coordinates):
Ba1 0.000 0.000 0.000
Re1 0.282 0.500 0.613
Re2 0.718 0.500 0.387
Ir1 0.500 0.000 0.500

***

Which of them is most stable? Easy: <two>.

***

<one>
First-principles (PBE-GGA) data for crystalline BaRe2Ir at its relaxed geometry, as listed in the Alexandria database.

a b c (Å): 6.251 6.251 6.251
angles (deg): 102.61 102.61 124.28
Atoms (fractional coordinates):
Ba1 0.000 0.000 0.000
Ba2 0.750 0.250 0.500
Re1 0.194 0.625 0.069
Re2 0.375 0.444 0.569
Re3 0.556 0.125 0.931
Re4 0.875 0.806 0.431
Ir1 0.250 0.750 0.500
Ir2 0.500 0.500 0.000

***

<two>
First-principles (PBE-GGA) data for crystalline BaRe2Ir at its relaxed geometry, as listed in the Alexandria database.

a b c (Å): 5.086 5.086 2.908
angles (deg): 90.00 90.00 90.00
Atoms (fractional coordinates):
Ba1 0.000 0.000 0.000
Re1 0.000 0.500 0.500
Re2 0.500 0.000 0.500
Ir1 0.500 0.500 0.000

***

<three>
First-principles (PBE-GGA) data for crystalline BaRe2Ir at its relaxed geometry, as listed in the Alexandria database.

a b c (Å): 4.701 4.701 4.701
angles (deg): 60.00 60.00 60.00
Atoms (fractional coordinates):
Ba1 0.000 0.000 0.000
Re1 0.250 0.250 0.250
Re2 0.750 0.750 0.750
Ir1 0.500 0.500 0.500

***

Which of them is most stable? Easy: <one>.

***

<one>
First-principles (PBE-GGA) data for crystalline BaRe2Ir at its relaxed geometry, as listed in the Alexandria database.

a b c (Å): 2.838 2.838 9.525
angles (deg): 90.00 90.00 90.00
Atoms (fractional coordinates):
Ba1 0.000 0.000 0.000
Re1 0.500 0.500 0.302
Re2 0.500 0.500 0.698
Ir1 0.000 0.000 0.500

***

<two>
First-principles (PBE-GGA) data for crystalline BaRe2Ir at its relaxed geometry, as listed in the Alexandria database.

a b c (Å): 6.171 6.171 6.171
angles (deg): 153.47 130.47 57.06
Atoms (fractional coordinates):
Ba1 0.000 0.000 0.000
Re1 0.288 0.788 0.500
Re2 0.712 0.212 0.500
Ir1 0.500 0.500 0.000

***

<three>
First-principles (PBE-GGA) data for crystalline BaRe2Ir at its relaxed geometry, as listed in the Alexandria database.

a b c (Å): 5.501 5.501 2.784
angles (deg): 90.00 90.00 115.73
Atoms (fractional coordinates):
Ba1 0.000 0.000 0.000
Re1 0.000 0.500 0.500
Re2 0.500 0.000 0.500
Ir1 0.500 0.500 0.000

***

Which of them is most stable? Easy: <one>.

***

<one>
First-principles (PBE-GGA) data for crystalline BaReIr2 at its relaxed geometry, as listed in the Alexandria database.

a b c (Å): 5.738 5.738 5.738
angles (deg): 143.79 119.39 72.69
Atoms (fractional coordinates):
Ba1 0.000 0.000 0.000
Re1 0.500 0.500 0.000
Ir1 0.320 0.820 0.500
Ir2 0.680 0.180 0.500

***

<two>
First-principles (PBE-GGA) data for crystalline BaReIr2 at its relaxed geometry, as listed in the Alexandria database.

a b c (Å): 2.853 3.890 7.472
angles (deg): 90.00 90.00 90.00
Atoms (fractional coordinates):
Ba1 0.000 0.000 0.000
Re1 0.500 0.500 0.645
Ir1 0.000 0.000 0.502
Ir2 0.500 0.500 0.305

***

<three>
First-principles (PBE-GGA) data for crystalline BaReIr2 at its relaxed geometry, as listed in the Alexandria database.

a b c (Å): 10.199 10.199 10.199
angles (deg): 16.55 16.55 16.55
Atoms (fractional coordinates):
Ba1 0.000 0.000 0.000
Re1 0.500 0.500 0.500
Ir1 0.235 0.235 0.235
Ir2 0.765 0.765 0.765

***

Which of them is most stable? Easy: <two>.